# 1
CeHoPb2 | PBE | relaxed

The structure in POSCAR format:
```
CeHoPb2
1.0
-2.3513 0.1466 2.6844
-1.3391 -3.1562 -1.0006
5.8946 -4.2109 5.3932
Ce Ho Pb
1 1 2
Cartesian
1.1021 -3.6102 3.5385
-1.8452 -1.5048 0.8419
1.4266 -1.0191 1.3052
4.4680 -3.1918 4.0880
```

Computed properties:
- energy of formation (eV/atom) = -0.40
- space-group type = No. 123


# 2
YMgCo2Ni2 | PBE | relaxed

The structure in POSCAR format:
```
YMgCo2Ni2
1.0
2.2896 -2.1609 3.8687
-3.2229 -3.8063 -0.0519
2.6414 1.2859 -4.0308
Mg Ni Co Y
1 2 2 1
Cartesian
2.2364 -1.9024 0.8559
0.8451 -2.2310 -1.6038
0.6288 -3.9473 2.3472
2.4359 -0.3281 -1.5715
-0.4969 -2.8771 0.4132
-0.0010 -0.0061 0.0039
```

Computed properties:
- energy of formation (eV/atom) = -0.25
- space-group type = No. 44


# 3
BeB3Pt | PBE | relaxed

The structure in POSCAR format:
```
BeB3Pt
1.0
3.6406 0.0000 0.0000
0.0000 3.6406 0.0000
0.0000 0.0000 3.6406
Pt B Be
1 3 1
Cartesian
1.8203 1.8203 1.8203
0.0000 0.0000 1.8203
1.8203 0.0000 0.0000
0.0000 1.8203 0.0000
0.0000 0.0000 0.0000
```

Computed properties:
- energy of formation (eV/atom) = 1.43
- space-group type = No. 221


# 4
CsU2PdS4 | PBE | relaxed

The structure in POSCAR format:
```
CsU2PdS4
1.0
-0.1997 -4.0492 0.3765
7.0357 1.7243 0.2610
-0.8381 1.3271 13.8275
S Pd U Cs
8 2 4 2
Cartesian
3.4885 -0.0228 1.6047
0.7437 -1.7384 3.7133
3.2359 0.3771 5.7717
5.2542 0.7406 10.7516
-0.4191 0.6636 6.9137
2.7620 -1.3749 8.6933
0.0000 0.0000 0.0000
2.5094 -0.9750 12.8602
2.1329 0.2303 3.6086
3.8650 -1.2282 10.8564
4.3174 1.0220 13.2811
1.3677 -1.5246 6.3440
4.6302 0.5268 8.1210
1.6805 -2.0198 1.1838
5.1297 -1.9283 3.9974
0.8682 0.9305 10.4675
```

Computed properties:
- space-group type = No. 63
- formation energy without anion corrections (eV/f.u.) = -9.801


# 5
Tb2TcC2 | PBE | relaxed

The structure in POSCAR format:
```
Tb2TcC2
1.0
5.1418 0.0000 0.0000
-2.5709 5.5939 -0.1038
0.0000 -3.1141 5.9236
Tb Tc C
4 2 4
Cartesian
2.5709 0.0642 3.6508
0.0000 -2.0662 4.5951
0.0000 2.4156 2.1690
2.5709 4.5460 1.2247
2.5709 1.1322 0.7377
0.0000 1.3475 5.0822
0.0000 0.1207 3.5794
2.5709 2.3590 2.2404
2.5709 -2.3435 4.6078
0.0000 4.8233 1.2121
```

Computed properties:
- energy of formation (eV/atom) = -0.32
- space-group type = No. 12


# 6
PIrBr2 | PBE | relaxed

The structure in POSCAR format:
```
PIrBr2
1.0
0.0000 3.3304 3.3304
3.3304 0.0000 3.3304
3.3304 3.3304 0.0000
Ir Br P
1 2 1
Cartesian
3.3304 3.3304 3.3304
1.6652 1.6652 1.6652
4.9955 4.9955 4.9955
0.0000 0.0000 0.0000
```

Computed properties:
- space-group type = No. 225
- formation energy without anion corrections (eV/f.u.) = 5.056


# 7
LaHRhAuS | PBE | relaxed

The structure in POSCAR format:
```
LaHRhAuS
1.0
-2.0601 1.4358 4.4034
2.9611 -2.5421 2.2144
3.1271 2.6195 -1.1746
H Rh Au La S
1 1 1 1 1
Cartesian
0.6485 2.0636 1.9896
1.9170 3.0964 1.4794
0.6991 0.7357 0.3973
1.8083 1.4093 4.2336
3.7145 1.7080 2.0281
```

Computed properties:
- space-group type = No. 6
- total energy (eV per atom) = -5.40


# 8
CsNa2CrH6 | PBE | relaxed

The structure in POSCAR format:
```
CsNa2CrH6
1.0
-0.9583 -5.5144 -1.7713
5.6163 -1.1972 0.6886
-1.4469 -2.2678 7.8588
Na H Cs Cr
4 12 2 2
Cartesian
1.5248 -3.8951 1.5811
1.6864 -5.0843 5.1950
4.8879 -1.6193 2.3963
-1.6768 -7.3601 4.3798
-0.3683 -2.5328 2.3358
3.9766 -4.1948 5.1653
0.3254 -4.3637 3.6731
-0.7655 -4.7846 1.6108
3.5795 -6.4466 4.4403
2.8375 -2.1410 1.1582
1.1189 -0.3854 0.5792
2.0922 -8.5940 6.1969
2.2650 -5.4012 0.1104
0.3736 -6.8384 5.6179
0.9461 -3.5781 6.6657
2.8857 -4.6157 3.1030
2.0847 -1.7325 4.2737
-0.4791 -2.7572 -0.8856
2.8082 -0.5986 0.3443
-1.2026 -3.8911 3.0438
```

Computed properties:
- space-group type = No. 58
- total energy (eV per atom) = -3.45


# 9
K3RbNp2Te6 | PBE | relaxed

The structure in POSCAR format:
```
K3RbNp2Te6
1.0
-0.9665 -4.2073 -1.6391
9.7249 -2.5312 0.7631
-3.7475 -0.5462 10.1155
K Te Rb Np
3 6 1 2
Cartesian
4.3792 -3.3692 -0.4380
-1.8147 -4.3463 5.7218
6.8256 -2.9384 3.5177
2.4426 -0.8349 0.7027
3.3998 -4.4438 2.8975
-0.6419 -3.3894 2.5741
5.6529 -3.8954 6.6654
2.5684 -6.4499 8.5368
1.6111 -2.8409 6.3420
-0.4832 -2.1036 -0.8196
1.8499 -1.7599 3.4265
3.1611 -5.5248 5.8130
```

Computed properties:
- space-group type = No. 12
- formation energy without anion corrections (eV/f.u.) = -10.538


# 10
K2SrYH | PBE | relaxed

The structure in POSCAR format:
```
K2SrYH
1.0
-0.6341 4.4400 3.7126
-4.7178 1.4407 -2.5288
-2.9904 -3.4490 3.6140
Y Sr K H
1 1 2 1
Cartesian
-4.1711 1.2158 2.3989
-2.3589 0.7203 -1.2644
-0.3171 2.2200 1.8563
-1.4952 -1.7245 1.8070
0.0000 0.0000 0.0000
```

Computed properties:
- space-group type = No. 123
- total energy (eV per atom) = -2.41


# 11
CaMn2Cu | PBE | relaxed

The structure in POSCAR format:
```
CaMn2Cu
1.0
4.2787 0.0000 0.0000
0.0000 4.2787 0.0000
2.1394 2.1394 8.9600
Mn Ca Cu
4 2 2
Cartesian
3.2090 2.1388 6.7200
4.2793 1.0697 2.2400
5.3484 2.1399 6.7200
4.2782 3.2090 2.2400
2.1394 2.1394 0.0000
2.1394 4.2787 4.4800
0.0000 0.0000 0.0000
4.2787 2.1394 4.4800
```

Computed properties:
- energy of formation (eV/atom) = 0.69
- space-group type = No. 141


# 12
WBr3 | PBE | relaxed

The structure in POSCAR format:
```
WBr3
1.0
-8.4826 0.2001 -3.3485
-1.1826 -8.6993 2.4759
-5.7276 -3.4694 1.8776
Br W
6 2
Cartesian
-7.7582 -4.5974 0.7418
-4.8326 -4.2496 -0.4363
-10.5518 -6.1067 -1.2915
-11.7322 -2.5313 -1.4920
-8.0435 -1.8023 -1.7727
-5.8714 -8.2092 1.9586
-9.5214 -3.7594 -0.9536
0.0000 0.0000 0.0000
```

Computed properties:
- space-group type = No. 122
- formation energy without anion corrections (eV/f.u.) = 0.845


| no. | V (Å³ per atom) | D(E_F) (states/eV per cell) | spin magnetization (Bohr magnetons per cell) |
| --- | --- | --- | --- |
| 1 | 28.8 | 8.6 | 1.45 |
| 2 | 14.4 | 7.0 | 2.76 |
| 3 | 9.7 | 2.1 | 0.00 |
| 4 | 24.6 | 26.0 | 10.02 |
| 5 | 16.9 | 3.6 | 0.00 |
| 6 | 18.5 | 4.6 | 0.00 |
| 7 | 18.0 | 1.7 | 0.00 |
| 8 | 14.1 | 0.0 | 6.00 |
| 9 | 39.5 | 14.9 | 6.00 |
| 10 | 37.6 | 5.3 | 0.00 |
| 11 | 20.5 | 9.8 | 9.19 |
| 12 | 27.1 | 8.0 | 0.00 |